Entry from Alexandria via LeMat-Bulk: a geometry-optimized Nb3CrCu structure (PBE).

Lattice parameters (Å, degrees): 4.571 4.571 4.571 90.00 90.00 90.00
Fractional coordinates of all 5 atoms:
Nb  0.000  0.000  0.500
Nb  0.000  0.500  0.000
Nb  0.500  0.000  0.000
Cr  0.000  0.000  0.000
Cu  0.500  0.500  0.500

Computed properties:
Formation energy (eV per atom): 1.01
SG: Pm-3m
Relative energy among the computed polymorphs (meV/atom): 0
Calculated density (g/cm³): 6.9


Entry from Alexandria via LeMat-Bulk: a geometry-optimized Cs14Nd2Te9 structure (PBE).

Lattice parameters (Å, degrees): 10.793 10.793 15.002 90.00 90.00 120.00
Fractional coordinates of all 25 atoms:
Cs  0.000  0.000  0.248
Cs  0.000  0.000  0.752
Cs  0.049  0.680  0.406
Cs  0.095  0.402  0.100
Cs  0.307  0.905  0.100
Cs  0.320  0.369  0.406
Cs  0.369  0.049  0.594
Cs  0.402  0.307  0.900
Cs  0.598  0.693  0.100
Cs  0.631  0.951  0.406
Cs  0.680  0.631  0.594
Cs  0.693  0.095  0.900
Cs  0.905  0.598  0.900
Cs  0.951  0.320  0.594
Nd  0.333  0.667  0.772
Nd  0.667  0.333  0.228
Te  0.000  0.000  0.500
Te  0.095  0.378  0.840
Te  0.283  0.905  0.840
Te  0.333  0.667  0.568
Te  0.378  0.283  0.160
Te  0.622  0.717  0.840
Te  0.667  0.333  0.432
Te  0.717  0.095  0.160
Te  0.905  0.622  0.160

Computed properties:
Uncorrected formation energy (eV per atom): -1.044
SG: P-3
Calculated density (g/cm³): 3.6


Entry from Alexandria via LeMat-Bulk: a geometry-optimized Li2H12C3SN6O7 structure (PBE).

Lattice parameters (Å, degrees): 9.838 9.838 8.187 111.43 111.43 56.94
Fractional coordinates of all 62 atoms:
Li  0.119  0.743  0.835
Li  0.257  0.881  0.665
Li  0.743  0.119  0.335
Li  0.881  0.257  0.165
H  0.050  0.706  0.393
H  0.070  0.572  0.501
H  0.132  0.255  0.883
H  0.232  0.380  0.991
H  0.255  0.132  0.383
H  0.294  0.950  0.107
H  0.316  0.577  0.304
H  0.360  0.425  0.788
H  0.380  0.232  0.491
H  0.423  0.684  0.196
H  0.425  0.360  0.288
H  0.428  0.930  0.999
H  0.572  0.070  0.001
H  0.575  0.640  0.712
H  0.577  0.316  0.804
H  0.620  0.768  0.509
H  0.640  0.575  0.212
H  0.684  0.423  0.696
H  0.706  0.050  0.893
H  0.745  0.868  0.617
H  0.768  0.620  0.009
H  0.868  0.745  0.117
H  0.930  0.428  0.499
H  0.950  0.294  0.607
C  0.078  0.427  0.749
C  0.427  0.078  0.249
C  0.452  0.548  0.750
C  0.548  0.452  0.250
C  0.573  0.922  0.751
C  0.922  0.573  0.251
S  0.086  0.914  0.250
S  0.914  0.086  0.750
N  0.037  0.607  0.384
N  0.154  0.346  0.885
N  0.346  0.154  0.385
N  0.393  0.963  0.116
N  0.408  0.463  0.261
N  0.463  0.408  0.761
N  0.537  0.592  0.239
N  0.592  0.537  0.739
N  0.607  0.037  0.884
N  0.654  0.846  0.615
N  0.846  0.654  0.115
N  0.963  0.393  0.616
O  0.071  0.083  0.300
O  0.083  0.071  0.800
O  0.114  0.531  0.745
O  0.172  0.812  0.096
O  0.188  0.828  0.404
O  0.316  0.684  0.750
O  0.469  0.886  0.755
O  0.531  0.114  0.245
O  0.684  0.316  0.250
O  0.812  0.172  0.596
O  0.828  0.188  0.904
O  0.886  0.469  0.255
O  0.917  0.929  0.200
O  0.929  0.917  0.700

Computed properties:
Energy (eV per atom): -6.039
SG: C2/c
Calculated density (g/cm³): 1.6


Entry from Alexandria via LeMat-Bulk: a geometry-optimized CaIn3 structure (PBE).

Lattice parameters (Å, degrees): 3.863 3.970 7.202 90.00 90.00 90.00
Fractional coordinates of all 4 atoms:
Ca  0.000  0.000  0.000
In  0.000  0.000  0.500
In  0.500  0.500  0.277
In  0.500  0.500  0.723

Computed properties:
Formation energy (eV per atom): -0.23
SG: Pmmm
Calculated density (g/cm³): 5.8


Entry from Alexandria via LeMat-Bulk: a geometry-optimized Tl2Sn2Bi structure (PBE).

Lattice parameters (Å, degrees): 4.208 4.208 18.123 90.00 90.00 90.00
Fractional coordinates of all 10 atoms:
Tl  0.000  0.000  0.097
Tl  0.000  0.000  0.903
Tl  0.500  0.500  0.403
Tl  0.500  0.500  0.597
Sn  0.000  0.500  0.250
Sn  0.000  0.500  0.750
Sn  0.500  0.000  0.250
Sn  0.500  0.000  0.750
Bi  0.000  0.000  0.500
Bi  0.500  0.500  0.000

Computed properties:
Formation energy (eV per atom): 0.15
SG: I4/mmm
Relative energy among the computed polymorphs (meV/atom): 136
Calculated density (g/cm³): 8.8


Entry from Alexandria via LeMat-Bulk: a geometry-optimized BaRu2Au structure (PBE).

Lattice parameters (Å, degrees): 4.414 4.414 8.432 90.00 90.00 90.00
Fractional coordinates of all 8 atoms:
Ba  0.000  0.000  0.000
Ba  0.500  0.500  0.500
Ru  0.000  0.500  0.250
Ru  0.000  0.500  0.750
Ru  0.500  0.000  0.250
Ru  0.500  0.000  0.750
Au  0.000  0.000  0.500
Au  0.500  0.500  0.000

Computed properties:
Formation energy (eV per atom): 0.93
SG: I4/mmm
Relative energy among the computed polymorphs (meV/atom): 796
Calculated density (g/cm³): 10.8


Entry from Alexandria via LeMat-Bulk: a geometry-optimized Sc2TlTc structure (PBE).

Lattice parameters (Å, degrees): 3.481 5.145 9.486 90.00 90.00 90.00
Fractional coordinates of all 8 atoms:
Sc  0.000  0.000  0.000
Sc  0.000  0.500  0.286
Sc  0.500  0.000  0.286
Sc  0.500  0.500  0.000
Tl  0.000  0.500  0.729
Tl  0.500  0.000  0.729
Tc  0.000  0.000  0.492
Tc  0.500  0.500  0.492

Computed properties:
Formation energy (eV per atom): 0.23
SG: Cmm2
Relative energy among the computed polymorphs (meV/atom): 527
Calculated density (g/cm³): 7.7


Entry from Alexandria via LeMat-Bulk: a geometry-optimized Ba3MgNp2O9 structure (PBE).

Lattice parameters (Å, degrees): 6.051 6.051 7.473 90.00 90.00 120.00
Fractional coordinates of all 15 atoms:
Ba  0.000  0.000  0.000
Ba  0.333  0.667  0.652
Ba  0.667  0.333  0.348
Mg  0.000  0.000  0.500
Np  0.333  0.667  0.176
Np  0.667  0.333  0.824
O  0.000  0.500  0.000
O  0.168  0.336  0.333
O  0.168  0.832  0.333
O  0.336  0.168  0.667
O  0.500  0.000  0.000
O  0.500  0.500  0.000
O  0.664  0.832  0.333
O  0.832  0.168  0.667
O  0.832  0.664  0.667

Computed properties:
Uncorrected formation energy (eV per atom): -2.937
SG: P-3m1
Calculated density (g/cm³): 7.4


Entry from Alexandria via LeMat-Bulk: a geometry-optimized Li2Ce3Sn6 structure (PBE).

Lattice parameters (Å, degrees): 12.858 12.858 12.858 158.62 158.62 30.42
Fractional coordinates of all 11 atoms:
Li  0.046  0.046  0.000
Li  0.954  0.954  0.000
Ce  0.314  0.314  0.000
Ce  0.500  0.500  0.000
Ce  0.686  0.686  0.000
Sn  0.096  0.596  0.500
Sn  0.187  0.187  0.000
Sn  0.404  0.904  0.500
Sn  0.596  0.096  0.500
Sn  0.813  0.813  0.000
Sn  0.904  0.404  0.500

Computed properties:
Formation energy (eV per atom): -0.42
SG: I4/mmm
Calculated density (g/cm³): 6.7


Entry from Alexandria via LeMat-Bulk: a geometry-optimized Zn4CuF8 structure (PBE).

Lattice parameters (Å, degrees): 6.406 6.406 6.406 60.00 60.00 60.00
Fractional coordinates of all 13 atoms:
Zn  0.123  0.123  0.123
Zn  0.123  0.123  0.630
Zn  0.123  0.630  0.123
Zn  0.630  0.123  0.123
Cu  0.500  0.500  0.500
F  0.322  0.893  0.893
F  0.360  0.360  0.360
F  0.360  0.360  0.919
F  0.360  0.919  0.360
F  0.893  0.322  0.893
F  0.893  0.893  0.322
F  0.893  0.893  0.893
F  0.919  0.360  0.360

Computed properties:
Uncorrected formation energy (eV per atom): -1.863
SG: F-43m
Calculated density (g/cm³): 4.3


Entry from Alexandria via LeMat-Bulk: a geometry-optimized LiSeCl2 structure (PBE).

Lattice parameters (Å, degrees): 7.062 7.335 5.062 90.00 133.78 90.00
Fractional coordinates of all 8 atoms:
Li  0.000  0.000  0.000
Li  0.500  0.500  0.000
Se  0.000  0.500  0.000
Se  0.500  0.000  0.000
Cl  0.250  0.250  0.500
Cl  0.250  0.750  0.500
Cl  0.750  0.250  0.500
Cl  0.750  0.750  0.500

Computed properties:
Uncorrected formation energy (eV per atom): -0.674
SG: C2/m
Relative energy among the computed polymorphs (meV/atom): 126
Calculated density (g/cm³): 2.8


Entry from Alexandria via LeMat-Bulk: a geometry-optimized Th2AlFeCo6 structure (PBE).

Lattice parameters (Å, degrees): 6.216 6.216 8.108 129.96 129.96 45.76
Fractional coordinates of all 10 atoms:
Th  0.245  0.245  0.296
Th  0.755  0.755  0.704
Al  0.000  0.000  0.500
Fe  0.500  0.500  0.000
Co  0.242  0.742  0.238
Co  0.250  0.250  0.931
Co  0.258  0.758  0.762
Co  0.742  0.242  0.238
Co  0.750  0.750  0.069
Co  0.758  0.258  0.762

Computed properties:
Formation energy (eV per atom): -0.13
SG: C2/m
Calculated density (g/cm³): 9.3